{"formula": "LaMgInRh2", "functional": "PBE-GGA", "state": "relaxed", "total_magnetization_mub_per_fu": 0.00, "e_tot_ev_per_cell": -22.796, "formation_energy_ev_per_atom": 0.233, "cell": [[5.0182, 0.0000, 0.0000], [0.0000, 5.0182, 0.0000], [0.0000, 0.0000, 4.8883]], "species": ["La", "Mg", "In", "Rh", "Rh"], "frac_coords": [[0.0000, 0.0000, 0.0000], [0.5000, 0.5000, 0.0000], [0.5000, 0.5000, 0.5000], [0.0000, 0.5000, 0.5000], [0.5000, 0.0000, 0.5000]]}